[1]
Compound: MgInTc2
Source: Alexandria
Functional: PBE-GGA
Structure: relaxed

Properties
* formation energy from the elements: 373 meV/atom
* calculated volume: 68.17 Å³/cell
* space-group type: P4/mmm (123)
* E above lowest polymorph: 347.8 meV/atom

Cell lengths 3.4219, 3.4219, 5.8219 Å; angles 90.00, 90.00, 90.00 degrees
Closest atoms and distances in Å follow each position.
Element x y z (fractional)
Mg1 0.0000 0.0000 0.0000  8 Tc 2.71, 2 In 2.91
In1 0.0000 0.0000 0.5000  2 Mg 2.91, 8 Tc 2.96
Tc1 0.5000 0.5000 0.2079  1 Tc 2.42, 4 Mg 2.71
Tc2 0.5000 0.5000 0.7921  1 Tc 2.42, 4 Mg 2.71

[2]
Compound: MgInTc2
Source: Alexandria
Functional: PBE-GGA
Structure: relaxed

Properties
* formation energy from the elements: 312 meV/atom
* calculated volume: 68.42 Å³/cell
* space-group type: P2/m (10)
* E above lowest polymorph: 287.1 meV/atom

Cell lengths 2.8130, 4.6250, 5.3078 Å; angles 90.00, 97.80, 90.00 degrees
Closest atoms and distances in Å follow each position.
Element x y z (fractional)
Mg1 0.0000 0.0000 0.0000  4 Tc 2.79, 2 Mg 2.81, 2 In 2.83
In1 0.5000 0.0000 0.5000  2 In 2.81, 2 Mg 2.83, 4 Tc 2.83
Tc1 0.3081 0.5000 0.7767  1 Tc 2.47
Tc2 0.6919 0.5000 0.2233  1 Tc 2.47

[3]
Compound: Mg4InTc
Source: Alexandria
Functional: PBE-GGA
Structure: relaxed

Properties
* formation energy from the elements: 421 meV/atom
* calculated volume: 118.89 Å³/cell
* space-group type: F-43m (216)

Cell lengths 5.5193, 5.5193, 5.5193 Å; angles 60.00, 60.00, 60.00 degrees
Closest atoms and distances in Å follow each position.
Element x y z (fractional)
Mg1 0.1241 0.1241 0.1241  6 Mg 2.74-2.78
Mg2 0.1241 0.1241 0.6277  6 Mg 2.74-2.78
Mg3 0.1241 0.6277 0.1241  6 Mg 2.74-2.78
Mg4 0.6277 0.1241 0.1241  6 Mg 2.74-2.78
In1 0.5000 0.5000 0.5000  12 Mg 3.24, 4 Tc 3.38
Tc1 0.7500 0.7500 0.7500  12 Mg 3.23, 4 In 3.38

[4]
Compound: MgInTc2
Source: Alexandria
Functional: PBE-GGA
Structure: relaxed

Properties
* formation energy from the elements: 298 meV/atom
* calculated volume: 66.50 Å³/cell
* space-group type: Pmmm (47)
* E above lowest polymorph: 272.4 meV/atom

Cell lengths 3.2954, 4.4538, 4.5311 Å; angles 90.00, 90.00, 90.00 degrees
Closest atoms and distances in Å follow each position.
Element x y z (fractional)
Mg1 0.0000 0.0000 0.0000  4 In 2.77, 4 Tc 2.80
In1 0.5000 0.5000 0.0000  4 Mg 2.77, 4 Tc 2.80
Tc1 0.0000 0.5000 0.5000  4 Tc 2.77, 4 In 2.80
Tc2 0.5000 0.0000 0.5000  4 Tc 2.77, 4 Mg 2.80

[5]
Compound: MgInTc2
Source: Alexandria
Functional: PBE-GGA
Structure: relaxed

Properties
* formation energy from the elements: 218 meV/atom
* calculated volume: 69.17 Å³/cell
* space-group type: Cm (8)
* E above lowest polymorph: 192.3 meV/atom

Cell lengths 5.1882, 5.1882, 4.7411 Å; angles 109.97, 109.97, 35.49 degrees
Closest atoms and distances in Å follow each position.
Element x y z (fractional)
Mg1 0.0000 0.0000 0.0000  7 Tc 2.85-2.97, 3 In 3.00-3.03, 2 Mg 3.16
In1 0.7770 0.7770 0.2946  7 Tc 2.86-2.97, 3 Mg 3.00-3.03, 2 In 3.16
Tc1 0.2411 0.2411 0.7647  2 Tc 2.49
Tc2 0.5365 0.5365 0.5321  2 Tc 2.49

[6]
Compound: MgInTc2
Source: Alexandria
Functional: PBE-GGA
Structure: relaxed

Properties
* formation energy from the elements: 307 meV/atom
* calculated volume: 70.48 Å³/cell
* space-group type: Cmm2 (35)
* E above lowest polymorph: 282.0 meV/atom

Cell lengths 2.8626, 2.8626, 9.4175 Å; angles 90.00, 90.00, 114.03 degrees
Closest atoms and distances in Å follow each position.
Element x y z (fractional)
Mg1 0.0000 0.0000 0.0000  2 Tc 2.75, 4 Mg 2.86
In1 0.5000 0.5000 0.2872  6 In 2.86-3.12, 2 Tc 2.89, 2 Mg 3.12
Tc1 0.0000 0.0000 0.5454  2 Tc 2.55
Tc2 0.5000 0.5000 0.7593  2 Tc 2.55, 2 Mg 2.75

[7]
Compound: MgInTc2
Source: Alexandria
Functional: PBE-GGA
Structure: relaxed

Properties
* formation energy from the elements: 299 meV/atom
* calculated volume: 66.56 Å³/cell
* space-group type: Immm (71)
* E above lowest polymorph: 273.9 meV/atom

Cell lengths 5.3038, 5.3038, 5.3038 Å; angles 143.61, 130.48, 62.99 degrees
Closest atoms and distances in Å follow each position.
Element x y z (fractional)
Mg1 0.0000 0.0000 0.0000  4 In 2.77, 4 Tc 2.80
In1 0.5000 0.5000 0.0000  4 Mg 2.77, 4 Tc 2.81
Tc1 0.2492 0.7492 0.5000  4 Tc 2.77, 2 Mg 2.80, 2 In 2.81
Tc2 0.7508 0.2508 0.5000  4 Tc 2.77, 2 Mg 2.80, 2 In 2.81

[8]
Compound: MgInTc2
Source: Alexandria
Functional: PBE-GGA
Structure: relaxed

Properties
* formation energy from the elements: 189 meV/atom
* calculated volume: 70.32 Å³/cell
* space-group type: R3m (160)
* E above lowest polymorph: 163.9 meV/atom

Cell lengths 9.6111, 9.6111, 9.6111 Å; angles 17.53, 17.53, 17.53 degrees
Closest atoms and distances in Å follow each position.
Element x y z (fractional)
Mg1 0.0000 0.0000 0.0000  3 Tc 2.87, 6 Mg 2.93
In1 0.7632 0.7632 0.7632  6 In 2.93, 3 Tc 2.95, 3 Mg 3.22
Tc1 0.2517 0.2517 0.2517  3 Tc 2.61, 3 Mg 2.87
Tc2 0.5152 0.5152 0.5152  3 Tc 2.61

[9]
Compound: Mg2InTc2
Source: Alexandria
Functional: PBE-GGA
Structure: relaxed

Properties
* formation energy from the elements: 201 meV/atom
* calculated volume: 192.47 Å³/cell
* space-group type: P4/mbm (127)

Cell lengths 6.8319, 6.8319, 4.1237 Å; angles 90.00, 90.00, 90.00 degrees
Closest atoms and distances in Å follow each position.
Element x y z (fractional)
Mg1 0.1682 0.3318 0.0000  6 Tc 2.86-2.92
Mg2 0.3318 0.8318 0.0000  6 Tc 2.86-2.92
Mg3 0.6682 0.1682 0.0000  6 Tc 2.86-2.92
Mg4 0.8318 0.6682 0.0000  6 Tc 2.86-2.92
In1 0.0000 0.0000 0.5000  4 Tc 2.73
In2 0.5000 0.5000 0.5000  4 Tc 2.73
Tc1 0.1179 0.6179 0.5000  1 Tc 2.28
Tc2 0.3821 0.1179 0.5000  1 Tc 2.28
Tc3 0.6179 0.8821 0.5000  1 Tc 2.28
Tc4 0.8821 0.3821 0.5000  1 Tc 2.28

[10]
Compound: MgInTc4
Source: Alexandria
Functional: PBE-GGA
Structure: relaxed

Properties
* formation energy from the elements: 239 meV/atom
* calculated volume: 100.96 Å³/cell
* space-group type: F-43m (216)

Cell lengths 5.2265, 5.2265, 5.2265 Å; angles 60.00, 60.00, 60.00 degrees
Closest atoms and distances in Å follow each position.
Element x y z (fractional)
Mg1 0.0000 0.0000 0.0000  12 Tc 3.06, 4 In 3.20
In1 0.2500 0.2500 0.2500  12 Tc 3.06, 4 Mg 3.20
Tc1 0.1250 0.6250 0.6250  6 Tc 2.61
Tc2 0.6250 0.1250 0.6250  6 Tc 2.61
Tc3 0.6250 0.6250 0.1250  6 Tc 2.61
Tc4 0.6250 0.6250 0.6250  6 Tc 2.61

[11]
Compound: MgInTc2
Source: Alexandria
Functional: PBE-GGA
Structure: relaxed

Properties
* formation energy from the elements: 422 meV/atom
* calculated volume: 68.18 Å³/cell
* space-group type: R-3m (166)
* E above lowest polymorph: 396.8 meV/atom

Cell lengths 9.3839, 9.3839, 9.3839 Å; angles 17.90, 17.90, 17.90 degrees
Closest atoms and distances in Å follow each position.
Element x y z (fractional)
Mg1 0.0000 0.0000 0.0000  6 Tc 2.86, 6 Mg 2.92
In1 0.5000 0.5000 0.5000  6 Tc 2.86, 6 In 2.92
Tc1 0.2500 0.2500 0.2500  3 Mg 2.86, 3 In 2.86, 6 Tc 2.92
Tc2 0.7500 0.7500 0.7500  3 Mg 2.86, 3 In 2.86, 6 Tc 2.92

[12]
Compound: MgInTc2
Source: Alexandria
Functional: PBE-GGA
Structure: relaxed

Properties
* formation energy from the elements: 465 meV/atom
* calculated volume: 68.43 Å³/cell
* space-group type: P4/mmm (123)
* E above lowest polymorph: 439.1 meV/atom

Cell lengths 2.8100, 2.8100, 8.6664 Å; angles 90.00, 90.00, 90.00 degrees
Closest atoms and distances in Å follow each position.
Element x y z (fractional)
Mg1 0.0000 0.0000 0.0000  4 Mg 2.81, 8 Tc 2.93
In1 0.0000 0.0000 0.5000  4 In 2.81, 8 Tc 2.95
Tc1 0.5000 0.5000 0.2486  4 Tc 2.81, 4 Mg 2.93, 4 In 2.95
Tc2 0.5000 0.5000 0.7514  4 Tc 2.81, 4 Mg 2.93, 4 In 2.95